# CsNpCr2O8 | Alexandria | PBE with a Hubbard U | optimized geometry
data_CsNpCr2O8
_cell_length_a 5.5671
_cell_length_b 5.5671
_cell_length_c 8.7971
_cell_angle_alpha 93.71
_cell_angle_beta 93.71
_cell_angle_gamma 63.50
_symmetry_space_group_name_H-M 'P 1'
_symmetry_Int_Tables_number 1
loop_
_symmetry_equiv_pos_as_xyz
'x,y,z'
loop_
_atom_site_label
_atom_site_type_symbol
_atom_site_fract_x
_atom_site_fract_y
_atom_site_fract_z
Cs1 Cs 0.0000 0.0000 0.0000
Np1 Np 0.0000 0.0000 0.5000
Cr1 Cr 0.3644 0.3644 0.7083
Cr2 Cr 0.6356 0.6356 0.2917
O1 O 0.2071 0.2071 0.5768
O2 O 0.2127 0.7114 0.6646
O3 O 0.2886 0.7873 0.3354
O4 O 0.3208 0.3208 0.8848
O5 O 0.6792 0.6792 0.1152
O6 O 0.7114 0.2127 0.6646
O7 O 0.7873 0.2886 0.3354
O8 O 0.7929 0.7929 0.4232
# - DFT total energy: -7.612 eV per atom
# - Space group: C2/m (12)